TeAs2PtSe (PBE-GGA, relaxed); energy relative to the elements, uncorrected = 0.463 eV/atom; excess energy over the best structure of this formula in the dataset = 0.000 eV/atom
1.0
4.865 0.000 0.000
0.000 4.865 0.000
0.000 0.000 5.167
Te As Pt Se
1 2 1 1
Direct
0.000 0.000 0.000 Te
0.000 0.500 0.500 As
0.500 0.000 0.500 As
0.500 0.500 0.500 Pt
0.500 0.500 0.000 Se